Record 1
# K2HgSb, relaxed, DFT PBE-GGA
data_K2HgSb
_chemical_formula_sum 'K4 Hg2 Sb2'
_space_group_name_H-M_alt 'I -4 m 2'
_space_group_IT_number 119
_space_group_name_Hall 'I -4 -2'
_cell_length_a 5.387
_cell_length_b 5.387
_cell_length_c 9.194
_cell_angle_alpha 90.00
_cell_angle_beta 90.00
_cell_angle_gamma 90.00
loop_
_atom_site_label
_atom_site_fract_x
_atom_site_fract_y
_atom_site_fract_z
K1 0.000 0.000 0.000
K2 0.000 0.500 0.250
Hg1 0.000 0.000 0.500
Sb1 0.000 0.500 0.750
# - Energy relative to the lowest polymorph listed for this composition: 72 meV per atom

Record 2
SrSiO3 after structural relaxation. Source: Alexandria, functional PBE-GGA.

```
data_SrSiO3
_chemical_formula_sum 'Sr4 Si4 O12'
_space_group_name_H-M_alt 'C 1 2/m 1'
_space_group_IT_number 12
_cell_length_a 9.730
_cell_length_b 7.372
_cell_length_c 3.813
_cell_angle_alpha 90.00
_cell_angle_beta 91.55
_cell_angle_gamma 90.00
loop_
_space_group_symop_operation_xyz
'x,y,z'
'-x,-y,-z'
'-x,y,-z'
'x,-y,z'
'x+1/2,y+1/2,z'
'-x+1/2,-y+1/2,-z'
'-x+1/2,y+1/2,-z'
'x+1/2,-y+1/2,z'
loop_
_atom_site_label
_atom_site_fract_x
_atom_site_fract_y
_atom_site_fract_z
Sr1 0.206 0.000 0.186
Si1 0.000 0.330 0.500
O1 0.090 0.500 0.296
O2 0.115 0.213 0.712
```

Record 3
MgRe2Mo after structural relaxation. Source: Alexandria, functional PBE-GGA.

```
data_MgRe2Mo
_chemical_formula_sum 'Mg1 Re2 Mo1'
_space_group_name_H-M_alt 'P 4/m m m'
_space_group_IT_number 123
_space_group_name_Hall '-P 4 2'
_cell_length_a 3.973
_cell_length_b 3.973
_cell_length_c 3.957
_cell_angle_alpha 90.00
_cell_angle_beta 90.00
_cell_angle_gamma 90.00
loop_
_atom_site_label
_atom_site_fract_x
_atom_site_fract_y
_atom_site_fract_z
Mg1 0.000 0.000 0.000
Re1 0.000 0.500 0.500
Mo1 0.500 0.500 0.000
```

Record 4
ZrMn9W2 after structural relaxation. Source: Alexandria, functional PBE-GGA.

```
data_ZrMn9W2
_chemical_formula_sum 'Zr3 Mn27 W6'
_space_group_name_H-M_alt 'R -3 m'
_space_group_IT_number 166
_space_group_name_Hall '-R 3 2"'
_cell_length_a 4.7420
_cell_length_b 4.7420
_cell_length_c 23.4302
_cell_angle_alpha 90.00
_cell_angle_beta 90.00
_cell_angle_gamma 120.00
loop_
_atom_site_label
_atom_site_fract_x
_atom_site_fract_y
_atom_site_fract_z
Zr1 0.0000 0.0000 0.0000
Mn1 0.0000 0.0000 0.3391
Mn2 0.0000 0.0000 0.5000
Mn3 0.0120 0.5060 0.9145
W1 0.0000 0.0000 0.1411
```

Record 5
SiTePt after structural relaxation. Source: Alexandria, functional PBE-GGA.

```
data_SiTePt
_chemical_formula_sum 'Si1 Te1 Pt1'
_space_group_name_H-M_alt 'P 3 m 1'
_space_group_IT_number 156
_cell_length_a 3.9356
_cell_length_b 3.9356
_cell_length_c 5.0758
_cell_angle_alpha 90.00
_cell_angle_beta 90.00
_cell_angle_gamma 120.00
loop_
_space_group_symop_operation_xyz
'x,y,z'
'-y,x-y,z'
'-x+y,-x,z'
'-y,-x,z'
'-x+y,y,z'
'x,x-y,z'
loop_
_atom_site_label
_atom_site_fract_x
_atom_site_fract_y
_atom_site_fract_z
Si1 0.0000 0.0000 0.0000
Te1 0.6667 0.3333 0.5343
Pt1 0.3333 0.6667 0.8438
```

Computed values of energy (unit: eV for the cell shown) for the preceding records, in sequence: -15.36; -145.64; -35.48; -352.65; -15.34.